No. 1
## La2CrSb (GGA-PBEsol)

Data for crystalline La2CrSb at its relaxed geometry.

Lattice parameters (Å, degrees): 4.296 4.296 23.218 90.00 90.00 120.00
Fractional positions:
La 0.000 0.000 0.249
La 0.000 0.000 0.751
La 0.333 0.667 0.418
La 0.333 0.667 0.916
La 0.667 0.333 0.084
La 0.667 0.333 0.582
Cr 0.000 0.000 0.500
Cr 0.333 0.667 0.167
Cr 0.667 0.333 0.833
Sb 0.000 0.000 0.000
Sb 0.333 0.667 0.667
Sb 0.667 0.333 0.333

Volume ... 30.9 Å³/atom
Calculated total energy ... -6.384 eV per atom

---

No. 2
## LaCrSb2 (GGA-PBEsol)

Data for crystalline LaCrSb2 at its relaxed geometry.

Lattice parameters (Å, degrees): 4.042 4.042 6.412 90.00 90.00 90.00
Fractional positions:
La 0.000 0.000 0.000
Cr 0.500 0.500 0.620
Sb 0.000 0.000 0.514
Sb 0.500 0.500 0.192

Volume ... 26.2 Å³/atom
Calculated total energy ... -6.312 eV per atom

---

No. 3
## La2CrSb (GGA-PBEsol)

Data for crystalline La2CrSb at its relaxed geometry.

Lattice parameters (Å, degrees): 4.551 4.551 10.121 90.00 90.00 90.00
Fractional positions:
La 0.000 0.000 0.000
La 0.000 0.500 0.250
La 0.500 0.000 0.750
La 0.500 0.500 0.500
Cr 0.000 0.500 0.750
Cr 0.500 0.000 0.250
Sb 0.000 0.000 0.500
Sb 0.500 0.500 0.000

Volume ... 26.2 Å³/atom
Calculated total energy ... -6.555 eV per atom

---

No. 4
## La4CrSb (GGA-PBEsol)

Data for crystalline La4CrSb at its relaxed geometry.

Lattice parameters (Å, degrees): 6.311 6.311 6.311 60.00 60.00 60.00
Fractional positions:
La 0.376 0.376 0.376
La 0.376 0.376 0.871
La 0.376 0.871 0.376
La 0.871 0.376 0.376
Cr 0.000 0.000 0.000
Sb 0.750 0.750 0.750

Volume ... 29.6 Å³/atom
Calculated total energy ... -5.637 eV per atom